P) Compound: TiAl3Rh
Source: Alexandria
Functional: GGA-PBE
Structure: optimized geometry

Calculated values
Crystal system: monoclinic
Calculated density in g cm⁻³: 4.929
Symmetry: P2_1/c (14)

a = 7.482 Å, b = 4.988 Å, c = 8.585 Å
α = 90.00°, β = 102.95°, γ = 90.00°
Sites, in units of the cell vectors:
Ti (0.120, 0.131, 0.251)
Ti (0.120, 0.369, 0.751)
Ti (0.880, 0.631, 0.249)
Ti (0.880, 0.869, 0.749)
Al (0.098, 0.711, 0.039)
Al (0.098, 0.789, 0.539)
Al (0.274, 0.625, 0.336)
Al (0.274, 0.875, 0.836)
Al (0.375, 0.160, 0.561)
Al (0.375, 0.340, 0.061)
Al (0.625, 0.660, 0.939)
Al (0.625, 0.840, 0.439)
Al (0.726, 0.125, 0.164)
Al (0.726, 0.375, 0.664)
Al (0.902, 0.211, 0.461)
Al (0.902, 0.289, 0.961)
Rh (0.451, 0.654, 0.643)
Rh (0.451, 0.846, 0.143)
Rh (0.549, 0.154, 0.857)
Rh (0.549, 0.346, 0.357)

***

Q) Compound: TiAl3Rh
Source: Alexandria
Functional: GGA-PBE
Structure: optimized geometry

Calculated values
Crystal system: cubic
Calculated density in g cm⁻³: 3.949
Symmetry: Pm-3m (221)

a = 4.602 Å, b = 4.602 Å, c = 4.602 Å
α = 90.00°, β = 90.00°, γ = 90.00°
Sites, in units of the cell vectors:
Ti (0.000, 0.000, 0.000)
Al (0.000, 0.500, 0.500)
Al (0.500, 0.000, 0.500)
Al (0.500, 0.500, 0.000)
Rh (0.500, 0.500, 0.500)

***

Least stable of them? Q).

***

P) Compound: Ti3AlRh
Source: Alexandria
Functional: GGA-PBE
Structure: optimized geometry

Calculated values
Crystal system: cubic
Calculated density in g cm⁻³: 4.400
Symmetry: Pm-3m (221)

a = 4.691 Å, b = 4.691 Å, c = 4.691 Å
α = 90.00°, β = 90.00°, γ = 90.00°
Sites, in units of the cell vectors:
Ti (0.000, 0.000, 0.500)
Ti (0.000, 0.500, 0.000)
Ti (0.500, 0.000, 0.000)
Al (0.500, 0.500, 0.500)
Rh (0.000, 0.000, 0.000)

***

Q) Compound: Ti3AlRh
Source: Alexandria
Functional: GGA-PBE
Structure: optimized geometry

Calculated values
Crystal system: monoclinic
Calculated density in g cm⁻³: 5.577
Symmetry: P2_1/m (11)

a = 4.613 Å, b = 5.622 Å, c = 6.667 Å
α = 90.00°, β = 109.62°, γ = 90.00°
Sites, in units of the cell vectors:
Ti (0.080, 0.250, 0.195)
Ti (0.312, 0.002, 0.622)
Ti (0.312, 0.498, 0.622)
Ti (0.688, 0.502, 0.378)
Ti (0.688, 0.998, 0.378)
Ti (0.920, 0.750, 0.805)
Al (0.131, 0.750, 0.245)
Al (0.869, 0.250, 0.755)
Rh (0.448, 0.250, 0.987)
Rh (0.552, 0.750, 0.013)

***

Least stable of them? P).

***

P) Compound: Ti8Al2Rh
Source: Alexandria
Functional: GGA-PBE
Structure: optimized geometry

Calculated values
Crystal system: tetragonal
Calculated density in g cm⁻³: 4.782
Symmetry: P4/mmm (123)

a = 4.068 Å, b = 4.068 Å, c = 11.326 Å
α = 90.00°, β = 90.00°, γ = 90.00°
Sites, in units of the cell vectors:
Ti (0.000, 0.000, 0.182)
Ti (0.000, 0.000, 0.818)
Ti (0.000, 0.500, 0.000)
Ti (0.000, 0.500, 0.355)
Ti (0.000, 0.500, 0.645)
Ti (0.500, 0.000, 0.000)
Ti (0.500, 0.000, 0.355)
Ti (0.500, 0.000, 0.645)
Al (0.500, 0.500, 0.180)
Al (0.500, 0.500, 0.820)
Rh (0.500, 0.500, 0.500)

***

Q) Compound: Ti8Al2Rh
Source: Alexandria
Functional: GGA-PBE
Structure: optimized geometry

Calculated values
Crystal system: orthorhombic
Calculated density in g cm⁻³: 4.855
Symmetry: Immm (71)

a = 7.652 Å, b = 7.652 Å, c = 7.652 Å
α = 145.65°, β = 132.51°, γ = 59.91°
Sites, in units of the cell vectors:
Ti (0.134, 0.362, 0.772)
Ti (0.176, 0.176, 0.000)
Ti (0.270, 0.000, 0.270)
Ti (0.410, 0.638, 0.772)
Ti (0.590, 0.362, 0.228)
Ti (0.730, 0.000, 0.730)
Ti (0.824, 0.824, 0.000)
Ti (0.866, 0.638, 0.228)
Al (0.311, 0.811, 0.500)
Al (0.689, 0.189, 0.500)
Rh (0.000, 0.500, 0.500)

***

Least stable of them? P).

***

P) Compound: TiAlRh3
Source: Alexandria
Functional: GGA-PBE
Structure: optimized geometry

Calculated values
Crystal system: cubic
Calculated density in g cm⁻³: 6.945
Symmetry: Pm-3m (221)

a = 4.510 Å, b = 4.510 Å, c = 4.510 Å
α = 90.00°, β = 90.00°, γ = 90.00°
Sites, in units of the cell vectors:
Ti (0.000, 0.000, 0.000)
Al (0.500, 0.500, 0.500)
Rh (0.000, 0.000, 0.500)
Rh (0.000, 0.500, 0.000)
Rh (0.500, 0.000, 0.000)

***

Q) Compound: TiAlRh3
Source: Alexandria
Functional: GGA-PBE
Structure: optimized geometry

Calculated values
Crystal system: cubic
Calculated density in g cm⁻³: 7.544
Symmetry: Pm-3m (221)

a = 4.387 Å, b = 4.387 Å, c = 4.387 Å
α = 90.00°, β = 90.00°, γ = 90.00°
Sites, in units of the cell vectors:
Ti (0.000, 0.000, 0.000)
Al (0.500, 0.500, 0.500)
Rh (0.000, 0.500, 0.500)
Rh (0.500, 0.000, 0.500)
Rh (0.500, 0.500, 0.000)

***

Least stable of them? P).

***

P) Compound: Al2TlRh
Source: Alexandria
Functional: GGA-PBE
Structure: optimized geometry

Calculated values
Crystal system: orthorhombic
Calculated density in g cm⁻³: 8.501
Symmetry: Pmmm (47)

a = 3.303 Å, b = 4.582 Å, c = 4.662 Å
α = 90.00°, β = 90.00°, γ = 90.00°
Sites, in units of the cell vectors:
Al (0.000, 0.000, 0.000)
Al (0.500, 0.000, 0.500)
Tl (0.000, 0.500, 0.500)
Rh (0.500, 0.500, 0.000)

***

Q) Compound: Al2TlRh
Source: Alexandria
Functional: GGA-PBE
Structure: optimized geometry

Calculated values
Crystal system: cubic
Calculated density in g cm⁻³: 8.588
Symmetry: Fm-3m (225)

a = 4.623 Å, b = 4.623 Å, c = 4.623 Å
α = 60.00°, β = 60.00°, γ = 60.00°
Sites, in units of the cell vectors:
Al (0.250, 0.250, 0.250)
Al (0.750, 0.750, 0.750)
Tl (0.000, 0.000, 0.000)
Rh (0.500, 0.500, 0.500)

***

R) Compound: Al2TlRh
Source: Alexandria
Functional: GGA-PBE
Structure: optimized geometry

Calculated values
Crystal system: tetragonal
Calculated density in g cm⁻³: 7.667
Symmetry: I-42d (122)

a = 9.289 Å, b = 9.289 Å, c = 9.289 Å
α = 153.76°, β = 153.76°, γ = 37.45°
Sites, in units of the cell vectors:
Al (0.073, 0.625, 0.948)
Al (0.375, 0.323, 0.448)
Al (0.677, 0.125, 0.052)
Al (0.875, 0.927, 0.552)
Tl (0.250, 0.750, 0.500)
Tl (0.500, 0.500, 0.000)
Rh (0.000, 0.000, 0.000)
Rh (0.750, 0.250, 0.500)

***

Least stable of them? P).

***

P) Compound: Al2TlRh
Source: Alexandria
Functional: GGA-PBE
Structure: optimized geometry

Calculated values
Crystal system: tetragonal
Calculated density in g cm⁻³: 8.739
Symmetry: I-4m2 (119)

a = 5.070 Å, b = 5.070 Å, c = 5.070 Å
α = 132.91°, β = 132.91°, γ = 68.80°
Sites, in units of the cell vectors:
Al (0.000, 0.000, 0.000)
Al (0.750, 0.250, 0.500)
Tl (0.500, 0.500, 0.000)
Rh (0.250, 0.750, 0.500)

***

Q) Compound: Al2TlRh
Source: Alexandria
Functional: GGA-PBE
Structure: optimized geometry

Calculated values
Crystal system: cubic
Calculated density in g cm⁻³: 8.391
Symmetry: F-43m (216)

a = 4.658 Å, b = 4.658 Å, c = 4.658 Å
α = 60.00°, β = 60.00°, γ = 60.00°
Sites, in units of the cell vectors:
Al (0.000, 0.000, 0.000)
Al (0.250, 0.250, 0.250)
Tl (0.500, 0.500, 0.500)
Rh (0.750, 0.750, 0.750)

***

R) Compound: Al2TlRh
Source: Alexandria
Functional: GGA-PBE
Structure: optimized geometry

Calculated values
Crystal system: orthorhombic
Calculated density in g cm⁻³: 7.609
Symmetry: Imm2 (44)

a = 6.995 Å, b = 6.995 Å, c = 6.995 Å
α = 155.94°, β = 145.52°, γ = 42.49°
Sites, in units of the cell vectors:
Al (0.000, 0.000, 0.000)
Al (0.668, 0.168, 0.500)
Tl (0.305, 0.805, 0.500)
Rh (0.512, 0.512, 0.000)

***

Least stable of them? Q).

***

P) Compound: Al2TlRh
Source: Alexandria
Functional: GGA-PBE
Structure: optimized geometry

Calculated values
Crystal system: tetragonal
Calculated density in g cm⁻³: 8.046
Symmetry: P4/mmm (123)

a = 2.995 Å, b = 2.995 Å, c = 8.310 Å
α = 90.00°, β = 90.00°, γ = 90.00°
Sites, in units of the cell vectors:
Al (0.000, 0.000, 0.184)
Al (0.000, 0.000, 0.816)
Tl (0.500, 0.500, 0.500)
Rh (0.500, 0.500, 0.000)

***

Q) Compound: Al2TlRh
Source: Alexandria
Functional: GGA-PBE
Structure: optimized geometry

Calculated values
Crystal system: orthorhombic
Calculated density in g cm⁻³: 8.567
Symmetry: Cmmm (65)

a = 4.740 Å, b = 4.740 Å, c = 3.288 Å
α = 90.00°, β = 90.00°, γ = 108.56°
Sites, in units of the cell vectors:
Al (0.000, 0.500, 0.000)
Al (0.500, 0.000, 0.000)
Tl (0.000, 0.000, 0.500)
Rh (0.500, 0.500, 0.500)

***

Least stable of them? Q).

***

P) Compound: AlTl2Rh
Source: Alexandria
Functional: GGA-PBE
Structure: optimized geometry

Calculated values
Crystal system: tetragonal
Calculated density in g cm⁻³: 6.983
Symmetry: I-42d (122)

a = 7.704 Å, b = 7.704 Å, c = 7.704 Å
α = 95.51°, β = 95.51°, γ = 143.89°
Sites, in units of the cell vectors:
Al (0.000, 0.000, 0.000)
Al (0.750, 0.250, 0.500)
Tl (0.374, 0.125, 0.749)
Tl (0.375, 0.626, 0.751)
Tl (0.376, 0.625, 0.251)
Tl (0.875, 0.624, 0.249)
Rh (0.250, 0.750, 0.500)
Rh (0.500, 0.500, 0.000)

***

Q) Compound: AlTl2Rh
Source: Alexandria
Functional: GGA-PBE
Structure: optimized geometry

Calculated values
Crystal system: cubic
Calculated density in g cm⁻³: 10.663
Symmetry: F-43m (216)

a = 4.914 Å, b = 4.914 Å, c = 4.914 Å
α = 60.00°, β = 60.00°, γ = 60.00°
Sites, in units of the cell vectors:
Al (0.000, 0.000, 0.000)
Tl (0.500, 0.500, 0.500)
Tl (0.750, 0.750, 0.750)
Rh (0.250, 0.250, 0.250)

***

R) Compound: AlTl2Rh
Source: Alexandria
Functional: GGA-PBE
Structure: optimized geometry

Calculated values
Crystal system: orthorhombic
Calculated density in g cm⁻³: 10.964
Symmetry: Cmmm (65)

a = 5.037 Å, b = 5.037 Å, c = 3.416 Å
α = 90.00°, β = 90.00°, γ = 109.71°
Sites, in units of the cell vectors:
Al (0.000, 0.000, 0.000)
Tl (0.000, 0.500, 0.500)
Tl (0.500, 0.000, 0.500)
Rh (0.500, 0.500, 0.000)

***

Least stable of them? Q).

***

P) Compound: AlTl2Rh
Source: Alexandria
Functional: GGA-PBE
Structure: optimized geometry

Calculated values
Crystal system: monoclinic
Calculated density in g cm⁻³: 10.720
Symmetry: P2/m (10)

a = 3.251 Å, b = 5.139 Å, c = 4.996 Å
α = 90.00°, β = 91.61°, γ = 90.00°
Sites, in units of the cell vectors:
Al (0.000, 0.000, 0.000)
Tl (0.259, 0.500, 0.254)
Tl (0.741, 0.500, 0.746)
Rh (0.500, 0.000, 0.500)

***

Q) Compound: AlTl2Rh
Source: Alexandria
Functional: GGA-PBE
Structure: optimized geometry

Calculated values
Crystal system: tetragonal
Calculated density in g cm⁻³: 11.004
Symmetry: I-4m2 (119)

a = 5.259 Å, b = 5.259 Å, c = 5.259 Å
α = 130.90°, β = 130.90°, γ = 71.98°
Sites, in units of the cell vectors:
Al (0.000, 0.000, 0.000)
Tl (0.500, 0.500, 0.000)
Tl (0.750, 0.250, 0.500)
Rh (0.250, 0.750, 0.500)

***

Least stable of them? P).

***

P) Compound: AlTl2Rh
Source: Alexandria
Functional: GGA-PBE
Structure: optimized geometry

Calculated values
Crystal system: monoclinic
Calculated density in g cm⁻³: 10.738
Symmetry: C2/m (12)

a = 5.790 Å, b = 5.790 Å, c = 3.345 Å
α = 106.77°, β = 106.77°, γ = 117.01°
Sites, in units of the cell vectors:
Al (0.000, 0.000, 0.000)
Tl (0.000, 0.500, 0.000)
Tl (0.500, 0.000, 0.000)
Rh (0.500, 0.500, 0.000)

***

Q) Compound: AlTl2Rh
Source: Alexandria
Functional: GGA-PBE
Structure: optimized geometry

Calculated values
Crystal system: orthorhombic
Calculated density in g cm⁻³: 10.439
Symmetry: Amm2 (38)

a = 3.993 Å, b = 5.594 Å, c = 5.594 Å
α = 43.29°, β = 90.00°, γ = 90.00°
Sites, in units of the cell vectors:
Al (0.000, 0.000, 0.000)
Tl (0.000, 0.282, 0.282)
Tl (0.500, 0.585, 0.585)
Rh (0.500, 0.867, 0.867)

***

Least stable of them? P).

***

P) Compound: AlTl2Rh
Source: Alexandria
Functional: GGA-PBE
Structure: optimized geometry

Calculated values
Crystal system: monoclinic
Calculated density in g cm⁻³: 9.782
Symmetry: C2/m (12)

a = 7.842 Å, b = 7.842 Å, c = 4.038 Å
α = 104.84°, β = 104.84°, γ = 22.42°
Sites, in units of the cell vectors:
Al (0.000, 0.000, 0.000)
Tl (0.174, 0.174, 0.673)
Tl (0.826, 0.826, 0.327)
Rh (0.500, 0.500, 0.500)

***

Q) Compound: AlTl2Rh
Source: Alexandria
Functional: GGA-PBE
Structure: optimized geometry

Calculated values
Crystal system: orthorhombic
Calculated density in g cm⁻³: 11.002
Symmetry: Pmmm (47)

a = 3.730 Å, b = 3.753 Å, c = 5.809 Å
α = 90.00°, β = 90.00°, γ = 90.00°
Sites, in units of the cell vectors:
Al (0.000, 0.000, 0.000)
Tl (0.500, 0.500, 0.258)
Tl (0.500, 0.500, 0.742)
Rh (0.000, 0.000, 0.500)

***

Least stable of them? Q).

***

P) Compound: AlTl2Rh
Source: Alexandria
Functional: GGA-PBE
Structure: optimized geometry

Calculated values
Crystal system: tetragonal
Calculated density in g cm⁻³: 10.166
Symmetry: P4mm (99)

a = 3.188 Å, b = 3.188 Å, c = 8.655 Å
α = 90.00°, β = 90.00°, γ = 90.00°
Sites, in units of the cell vectors:
Al (0.000, 0.000, 0.000)
Tl (0.000, 0.000, 0.377)
Tl (0.500, 0.500, 0.719)
Rh (0.500, 0.500, 0.125)

***

Q) Compound: AlTl2Rh
Source: Alexandria
Functional: GGA-PBE
Structure: optimized geometry

Calculated values
Crystal system: tetragonal
Calculated density in g cm⁻³: 11.030
Symmetry: I4/mmm (139)

a = 5.237 Å, b = 5.237 Å, c = 5.237 Å
α = 130.52°, β = 130.52°, γ = 72.58°
Sites, in units of the cell vectors:
Al (0.000, 0.000, 0.000)
Tl (0.250, 0.750, 0.500)
Tl (0.750, 0.250, 0.500)
Rh (0.500, 0.500, 0.000)

***

Least stable of them? Q).